Computed, not measured: La3Tb7Tm after structural relaxation at the PBE-GGA level of DFT.

The calculation puts the density of states at the Fermi level at 17.41 states/eV/f.u. Its total magnetization is 0.00 μB per cell. The calculated formation energy is 0.1692 eV per atom. The crystal system is trigonal. The energy above the lowest structure with this stoichiometry comes out at 0.0000 eV per atom.

The space group is P3m1 (No. 156) and the conventional cell measures 7.1189, 7.1189 and 8.7924 Å, with angles of 90.00, 90.00 and 120.00 degrees. Symmetry generates all atoms from La at (0.0004, 0.5002, 0.0000), Tb at (0.1674, 0.3348, 0.3406), Tb at (0.3346, 0.1673, 0.6611), Tb at (0.6667, 0.3333, 0.3413) and Tm at (0.3333, 0.6667, 0.6589).